1.
VASP calculation (PBE) on a geometry-optimized HfSiF2 structure.

Geometry as POSCAR:
```
HfSiF2
1.0
1.424 0.822 10.295
-1.424 0.822 10.295
0.000 -1.645 10.295
Hf Si F
1 1 2
direct
0.000 0.000 0.000
0.500 0.500 0.500
0.383 0.383 0.383
0.617 0.617 0.617
```

Computed properties:
Calculated volume (Å³/atom): 18.087
Energy relative to the elements, uncorrected (eV/atom): -1.614
Total energy (eV/atom): -6.394
Distance to the lowest polymorph of the same formula (meV/atom): 110.8

2.
VASP calculation (PBE) on a geometry-optimized PmMnGa structure.

Geometry as POSCAR:
```
PmMnGa
1.0
3.365 0.000 0.000
0.000 3.365 0.000
0.000 0.000 10.831
Pm Mn Ga
2 2 2
direct
0.000 0.000 0.198
0.000 0.000 0.802
0.500 0.500 0.385
0.500 0.500 0.615
0.000 0.000 0.500
0.500 0.500 0.000
```

Computed properties:
E_form (eV per atom): -0.062
Calculated volume (Å³/atom): 20.437
Total energy (eV/atom): -5.711
Distance to the lowest polymorph of the same formula (meV/atom): 167.5

3.
VASP calculation (PBE) on a geometry-optimized Pm2PaAs structure.

Geometry as POSCAR:
```
Pm2PaAs
1.0
4.771 0.000 0.000
0.000 4.771 0.000
0.000 0.000 4.419
Pm Pa As
2 1 1
direct
0.000 0.500 0.000
0.500 0.000 0.000
0.000 0.000 0.500
0.500 0.500 0.500
```

Computed properties:
E_form (eV per atom): -0.276
Calculated volume (Å³/atom): 25.147
Total energy (eV/atom): -6.188
Distance to the lowest polymorph of the same formula (meV/atom): 114.6

4.
VASP calculation (PBE) on a geometry-optimized Cs2AsRu structure.

Geometry as POSCAR:
```
Cs2AsRu
1.0
-6.584 6.584 2.348
6.584 -6.584 2.348
6.584 6.584 -2.348
Cs As Ru
4 2 2
direct
0.375 0.076 0.201
0.826 0.625 0.701
0.875 0.174 0.799
0.924 0.125 0.299
0.250 0.750 0.500
0.500 0.500 0.000
0.000 0.000 0.000
0.750 0.250 0.500
```

Computed properties:
E_form (eV per atom): 0.227
Calculated volume (Å³/atom): 50.878
Total energy (eV/atom): -3.682

5.
VASP calculation (PBE) on a geometry-optimized TiGeRh2Se structure.

Geometry as POSCAR:
```
TiGeRh2Se
1.0
4.570 0.000 0.000
0.000 4.570 0.000
0.000 0.000 4.675
Ti Ge Rh Se
1 1 2 1
direct
0.000 0.000 0.000
0.500 0.500 0.000
0.000 0.500 0.500
0.500 0.000 0.500
0.000 0.000 0.500
```

Computed properties:
Calculated volume (Å³/atom): 19.528
Energy relative to the elements, uncorrected (eV/atom): 0.276
Total energy (eV/atom): -5.864

6.
VASP calculation (PBE) on a geometry-optimized Y2MnC2 structure.

Geometry as POSCAR:
```
Y2MnC2
1.0
5.489 -2.530 0.000
5.489 2.530 0.000
-3.404 0.000 5.698
Y Mn C
4 2 4
direct
0.039 0.039 0.284
0.319 0.319 0.882
0.681 0.681 0.118
0.961 0.961 0.716
0.370 0.370 0.368
0.630 0.630 0.632
0.190 0.190 0.120
0.486 0.486 0.706
0.514 0.514 0.294
0.810 0.810 0.880
```

Computed properties:
E_form (eV per atom): -0.308
Calculated volume (Å³/atom): 15.826
Total energy (eV/atom): -8.417
Distance to the lowest polymorph of the same formula (meV/atom): 0.0

7.
VASP calculation (PBE) on a geometry-optimized Th3TlH2 structure.

Geometry as POSCAR:
```
Th3TlH2
1.0
6.697 0.000 0.000
0.000 3.619 0.000
-0.278 0.000 11.467
Th Tl H
6 2 4
direct
0.078 0.250 0.360
0.170 0.250 0.894
0.400 0.250 0.634
0.600 0.750 0.366
0.830 0.750 0.106
0.922 0.750 0.640
0.335 0.750 0.129
0.665 0.250 0.871
0.005 0.250 0.162
0.413 0.250 0.431
0.587 0.750 0.569
0.995 0.750 0.838
```

Computed properties:
Calculated volume (Å³/atom): 23.161
Total energy (eV/atom): -5.328

8.
VASP calculation (PBE) on a geometry-optimized CrFeTc3 structure.

Geometry as POSCAR:
```
CrFeTc3
1.0
4.338 0.000 0.000
0.000 4.338 0.000
0.000 0.000 4.338
Cr Fe Tc
1 1 3
direct
0.000 0.000 0.000
0.500 0.500 0.500
0.000 0.500 0.500
0.500 0.000 0.500
0.500 0.500 0.000
```

Computed properties:
E_form (eV per atom): 1.503
Calculated volume (Å³/atom): 16.331
Total energy (eV/atom): -8.333
Distance to the lowest polymorph of the same formula (meV/atom): 0.0

9.
VASP calculation (PBE) on a geometry-optimized CrNi2 structure.

Geometry as POSCAR:
```
CrNi2
1.0
4.001 0.000 0.000
-2.001 3.465 0.000
0.000 0.000 2.391
Cr Ni
1 2
direct
0.000 0.000 0.000
0.333 0.667 0.500
0.667 0.333 0.500
```

Computed properties:
E_form (eV per atom): 0.071
Calculated volume (Å³/atom): 11.050
Total energy (eV/atom): -6.991

10.
VASP calculation (PBE) on a geometry-optimized Cd3Tc structure.

Geometry as POSCAR:
```
Cd3Tc
1.0
4.463 0.000 0.000
0.000 9.304 0.000
0.000 0.000 7.449
Cd Tc
12 4
direct
0.248 0.250 0.092
0.249 0.016 0.379
0.249 0.484 0.379
0.251 0.516 0.879
0.251 0.984 0.879
0.252 0.750 0.592
0.748 0.250 0.408
0.749 0.016 0.121
0.749 0.484 0.121
0.751 0.516 0.621
0.751 0.984 0.621
0.752 0.750 0.908
0.248 0.250 0.670
0.252 0.750 0.170
0.748 0.250 0.830
0.752 0.750 0.330
```

Computed properties:
E_form (eV per atom): 0.254
Calculated volume (Å³/atom): 19.333
Total energy (eV/atom): -3.024
Distance to the lowest polymorph of the same formula (meV/atom): 0.0

11.
VASP calculation (PBE) on a geometry-optimized SnIrPtI structure.

Geometry as POSCAR:
```
SnIrPtI
1.0
3.970 0.000 0.000
0.000 3.743 0.000
-0.413 0.000 6.502
Sn Ir Pt I
1 1 1 1
direct
0.000 0.000 0.000
0.490 0.500 0.026
0.483 0.000 0.713
0.603 0.500 0.437
```

Computed properties:
Calculated volume (Å³/atom): 24.152
Energy relative to the elements, uncorrected (eV/atom): 0.039
Total energy (eV/atom): -5.075
Distance to the lowest polymorph of the same formula (meV/atom): 0.0

12.
VASP calculation (PBE) on a geometry-optimized PtAuSe2 structure.

Geometry as POSCAR:
```
PtAuSe2
1.0
1.414 -2.735 0.000
1.414 2.735 0.000
0.000 0.000 10.661
Pt Au Se
1 1 2
direct
0.000 0.000 0.000
0.000 0.000 0.500
0.500 0.500 0.202
0.500 0.500 0.798
```

Computed properties:
Calculated volume (Å³/atom): 20.617
Energy relative to the elements, uncorrected (eV/atom): 0.299
Total energy (eV/atom): -3.773